Entry 1:
Crystalline Ba3Y3TmSe8 at its relaxed geometry, computed with PBE.

Values from the calculation:
Formation energy (no corrections) ... -1.929 eV per atom
N(E_F) ... 0.24 states/eV/atom
Calculated volume ... 30.8 Å³/atom
Crystal system ... trigonal
Symmetry ... R-3m
Electronic total energy ... -5.76 eV/atom

The structure in extended XYZ format:
```
15
Lattice="-2.3842 -6.7739 -4.3924 4.0472 -0.9416 7.3218 -8.5009 2.8470 0.2238" Properties=species:S:1:pos:R:3 pbc="T T T"
Ba 0.0000 0.0000 0.0000
Ba 2.0236 -0.4708 3.6609
Ba 0.8315 -3.8577 1.4647
Y -5.4426 -1.9635 -2.0843
Y -3.4190 -2.4343 1.5766
Y -2.2268 0.9527 3.7728
Tm -4.2505 1.4235 0.1119
Se -0.9387 -1.4520 2.7488
Se -5.8992 -3.4165 0.4045
Se -2.1501 -4.8505 0.5808
Se -4.6879 -0.0180 2.5725
Se -4.1872 -4.3746 -3.1022
Se -2.6507 -0.4939 6.2555
Se -2.9887 -0.9695 -0.8942
Se -3.8493 -3.8990 4.0475
```



Entry 2:
Crystalline UHgTe2 at its relaxed geometry, computed with PBE.

Values from the calculation:
Formation energy (no corrections) ... -0.273 eV per atom
N(E_F) ... 2.00 states/eV/atom
Calculated volume ... 26.5 Å³/atom
Crystal system ... tetragonal
Symmetry ... P4/mmm
ΔE to the lowest computed polymorph ... 0.60 eV per formula unit
Electronic total energy ... -4.74 eV/atom

The structure in extended XYZ format:
```
4
Lattice="-1.6644 -0.7628 -3.5292 -1.3954 -4.6794 1.6695 -4.4740 1.9376 1.6912" Properties=species:S:1:pos:R:3 pbc="T T T"
Te -2.2370 0.9688 0.8456
Te -0.6977 -2.3397 0.8347
U -0.8322 -0.3814 -1.7646
Hg -3.7669 -1.7523 -0.0842
```



Entry 3:
Crystalline ReNi2RhN at its relaxed geometry, computed with PBE.

Values from the calculation:
Formation energy (no corrections) ... 0.141 eV per atom
N(E_F) ... 1.00 states/eV/atom
Calculated volume ... 11.7 Å³/atom
Crystal system ... tetragonal
Symmetry ... P4/mmm
Electronic total energy ... -7.80 eV/atom

The structure in extended XYZ format:
```
5
Lattice="3.8606 0.0000 0.0000 0.0000 3.8606 0.0000 0.0000 0.0000 3.9332" Properties=species:S:1:pos:R:3 pbc="T T T"
Re 0.0000 0.0000 1.9666
N 0.0000 0.0000 0.0000
Rh 1.9303 1.9303 1.9666
Ni 0.0000 1.9303 0.0000
Ni 1.9303 0.0000 0.0000
```



Entry 4:
Crystalline Ca2NiPd at its relaxed geometry, computed with PBE.

Values from the calculation:
N(E_F) ... 0.75 states/eV/atom
Calculated volume ... 21.3 Å³/atom
Crystal system ... tetragonal
Symmetry ... P4/mmm
Energy of formation from the pure elements ... -1.258 eV/f.u.
Electronic total energy ... -4.06 eV/atom

The structure in extended XYZ format:
```
4
Lattice="3.5125 0.0000 0.0000 0.0000 4.9202 0.0000 0.0000 0.0000 4.9202" Properties=species:S:1:pos:R:3 pbc="T T T"
Ni 1.7563 0.0000 0.0000
Ca 0.0000 0.0000 2.4601
Ca 0.0000 2.4601 0.0000
Pd 1.7563 2.4601 2.4601
```



Entry 5:
Crystalline K4I3F at its relaxed geometry, computed with PBE.

Values from the calculation:
Formation energy (no corrections) ... -1.749 eV per atom
N(E_F) ... 0.00 states/eV/atom
Calculated volume ... 39.5 Å³/atom
Crystal system ... orthorhombic
Symmetry ... Pnma
ΔE to the lowest computed polymorph ... 0.00 eV per formula unit
Electronic total energy ... -3.11 eV/atom

The structure in extended XYZ format:
```
32
Lattice="9.9655 0.0000 0.0000 0.0000 10.5164 0.0000 0.0000 0.0000 12.0676" Properties=species:S:1:pos:R:3 pbc="T T T"
I 3.6608 6.0024 9.0507
I 8.6435 9.7722 9.0507
I 6.3048 4.5140 3.0169
I 1.3220 0.7442 3.0169
I 4.6273 8.3274 0.5166
I 9.6100 7.4472 5.5172
I 5.3383 2.1890 6.5504
I 0.3555 3.0692 11.5510
I 5.3383 2.1890 11.5510
I 0.3555 3.0692 6.5504
I 4.6273 8.3274 5.5172
I 9.6100 7.4472 0.5166
K 1.7956 10.1598 6.7781
K 6.7784 5.6148 11.3233
K 8.1699 0.3566 0.7443
K 3.1872 4.9016 5.2895
K 8.1699 0.3566 5.2895
K 3.1872 4.9016 0.7443
K 1.7956 10.1598 11.3233
K 6.7784 5.6148 6.7781
K 2.9048 2.6073 9.0507
K 7.8876 2.6509 9.0507
K 7.0608 7.9091 3.0169
K 2.0780 7.8655 3.0169
K 5.0732 9.4709 9.0507
K 0.0904 6.3037 9.0507
K 4.8924 1.0455 3.0169
K 9.8751 4.2127 3.0169
F 2.7974 0.0533 9.0507
F 7.7802 5.2049 9.0507
F 7.1681 10.4631 3.0169
F 2.1854 5.3115 3.0169
```



Entry 6:
Crystalline YNi2SeS at its relaxed geometry, computed with PBE.

Values from the calculation:
Formation energy (no corrections) ... -0.648 eV per atom
N(E_F) ... 0.91 states/eV/atom
Calculated volume ... 19.0 Å³/atom
Crystal system ... tetragonal
Symmetry ... P4/mmm
Electronic total energy ... -5.78 eV/atom

The structure in extended XYZ format:
```
5
Lattice="-1.6286 2.0844 3.2260 -0.7041 -4.6981 2.6801 3.8029 0.3838 1.6718" Properties=species:S:1:pos:R:3 pbc="T T T"
Y -0.3520 -2.3491 1.3401
Ni 1.9014 0.1919 0.8359
Ni -0.8143 1.0422 1.6130
S 0.0000 0.0000 0.0000
Se 0.7351 -1.1150 3.7890
```



Results for calculated density: 5.31 10.88 11.91 4.79 2.92 5.55 (in Mg/m³, following the order of the records).
Results for magnetic moment: 0.0 2.5 0.0 0.0 0.0 1.0 (in μB/f.u., following the order of the records).